1.
Density functional theory data (PBE) for crystalline SmTmFe8B2 at its relaxed geometry.

extended XYZ file:
```
12
Lattice="5.072 0.000 0.000 -2.536 4.393 0.000 0.000 0.000 7.030" Properties=species:S:1:pos:R:3 pbc="T T T"
Sm 0.000 0.000 0.000
Tm 0.000 0.000 3.515
Fe -1.268 2.196 1.516
Fe -1.268 2.196 5.514
Fe 0.000 2.928 3.515
Fe 2.536 0.000 1.516
Fe 2.536 0.000 5.514
Fe 1.268 2.196 1.516
Fe 1.268 2.196 5.514
Fe 2.536 1.464 3.515
B 0.000 2.928 0.000
B 2.536 1.464 0.000
```

Output
ΔE to the lowest computed polymorph = 15 meV/atom
Symmetry = No. 191


2.
Density functional theory data (PBE) for crystalline BaDyZn at its relaxed geometry.

extended XYZ file:
```
3
Lattice="0.000 3.781 3.781 3.781 0.000 3.781 3.781 3.781 0.000" Properties=species:S:1:pos:R:3 pbc="T T T"
Ba 0.000 0.000 0.000
Dy 3.781 3.781 3.781
Zn 1.890 1.890 1.890
```

Output
Final energy = -2.3788 eV per atom
Symmetry = No. 216


3.
Density functional theory data (PBE) for crystalline NdMg at its relaxed geometry.

extended XYZ file:
```
2
Lattice="3.486 0.000 0.000 -1.743 3.019 0.000 0.000 0.000 5.674" Properties=species:S:1:pos:R:3 pbc="T T T"
Nd 0.000 0.000 0.000
Mg 0.000 2.012 2.837
```

Output
ΔE to the lowest computed polymorph = 171 meV/atom
Symmetry = No. 187